Record 1
The following is a DFT calculation (PBE) of a relaxed Sm2CuO4 crystal.

```
data_Sm2CuO4
_cell_length_a 12.176
_cell_length_b 5.570
_cell_length_c 5.574
_cell_angle_alpha 90.00
_cell_angle_beta 90.00
_cell_angle_gamma 90.00
_symmetry_space_group_name_H-M 'C m c e'
_symmetry_Int_Tables_number 64
_symmetry_space_group_name_Hall '-C 2ac 2'
loop_
_atom_site_label
_atom_site_type_symbol
_atom_site_fract_x
_atom_site_fract_y
_atom_site_fract_z
Sm1 Sm 0.151 0.000 0.000
Cu1 Cu 0.000 0.000 0.500
O1 O 0.000 0.224 0.225
O2 O 0.250 0.244 0.750
```

Output
Formation energy (no corrections): -2.62 eV/atom
Calculated volume: 13.50 Å³/atom
N(E_F): 0.1161 states/eV/atom

---

Record 2
The following is a DFT calculation (PBE) of a relaxed SmCu6O12 crystal.

```
data_SmCu6O12
_cell_length_a 7.509
_cell_length_b 7.509
_cell_length_c 7.509
_cell_angle_alpha 90.00
_cell_angle_beta 90.00
_cell_angle_gamma 90.00
_symmetry_space_group_name_H-M 'I m -3'
_symmetry_Int_Tables_number 204
_symmetry_space_group_name_Hall '-I 2 2 3'
loop_
_atom_site_label
_atom_site_type_symbol
_atom_site_fract_x
_atom_site_fract_y
_atom_site_fract_z
Sm1 Sm 0.000 0.000 0.000
Cu1 Cu 0.000 0.337 0.500
O1 O 0.000 0.150 0.331
```

Output
Formation energy (no corrections): -0.27 eV/atom
Calculated volume: 11.14 Å³/atom
N(E_F): 0.9857 states/eV/atom

---

Record 3
The following is a DFT calculation (PBE) of a relaxed SmCu6O8 crystal.

```
data_SmCu6O8
_cell_length_a 9.380
_cell_length_b 9.380
_cell_length_c 9.380
_cell_angle_alpha 90.00
_cell_angle_beta 90.00
_cell_angle_gamma 90.00
_symmetry_space_group_name_H-M 'F m -3 m'
_symmetry_Int_Tables_number 225
_symmetry_space_group_name_Hall '-F 4 2 3'
loop_
_atom_site_label
_atom_site_type_symbol
_atom_site_fract_x
_atom_site_fract_y
_atom_site_fract_z
Sm1 Sm 0.000 0.000 0.000
Cu1 Cu 0.000 0.250 0.250
O1 O 0.146 0.146 0.146
```

Output
Formation energy (no corrections): -1.04 eV/atom
E above lowest polymorph: 0 meV/atom
Calculated volume: 13.75 Å³/atom
N(E_F): 0.7049 states/eV/atom

---

| no. | theoretical density (g cm⁻³) |
| --- | --- |
| 1 | 7.52 |
| 2 | 5.68 |
| 3 | 5.31 |